## BeSnSe2I (PBE-GGA)

Data for a relaxed BeSnSe2I crystal.

For the raw formation energy, the calculation gives 749 meV per atom. The value obtained for the spin magnetization is 0.26 μB per formula unit.

The space group is P4/mmm (No. 123) and the conventional cell measures 5.2252, 5.2252 and 6.1367 Å, with angles of 90.00, 90.00 and 90.00 degrees. Symmetry generates all atoms from Be at (0.0000, 0.0000, 0.0000), Sn at (0.5000, 0.5000, 0.5000), Se at (0.0000, 0.5000, 0.5000) and I at (0.5000, 0.5000, 0.0000).

---

## BeTeSeI2 (PBE-GGA)

Data for a relaxed BeTeSeI2 crystal.

For the raw formation energy, the calculation gives 874 meV per atom. The value obtained for the spin magnetization is 0.00 μB per formula unit. The value obtained for the energy relative to the lowest polymorph listed for this composition is 207 kJ/mol of formula units.

The space group is P4/mmm (No. 123) and the conventional cell measures 5.6970, 5.6970 and 5.6146 Å, with angles of 90.00, 90.00 and 90.00 degrees. Symmetry generates all atoms from Be at (0.0000, 0.0000, 0.0000), Te at (0.5000, 0.5000, 0.0000), Se at (0.5000, 0.5000, 0.5000) and I at (0.0000, 0.5000, 0.5000).

---

## BeTeSeI2 (PBE-GGA)

Data for a relaxed BeTeSeI2 crystal.

For the raw formation energy, the calculation gives 763 meV per atom. The value obtained for the spin magnetization is 1.90 μB per formula unit. The value obtained for the energy relative to the lowest polymorph listed for this composition is 154 kJ/mol of formula units.

The space group is P4/mmm (No. 123) and the conventional cell measures 6.2906, 6.2906 and 4.6073 Å, with angles of 90.00, 90.00 and 90.00 degrees. Symmetry generates all atoms from Be at (0.0000, 0.0000, 0.0000), Te at (0.0000, 0.0000, 0.5000), Se at (0.5000, 0.5000, 0.0000) and I at (0.0000, 0.5000, 0.5000).

---

## BeTeSeI2 (PBE-GGA)

Data for a relaxed BeTeSeI2 crystal.

For the raw formation energy, the calculation gives 445 meV per atom. The value obtained for the spin magnetization is 0.00 μB per formula unit. The value obtained for the energy relative to the lowest polymorph listed for this composition is 0 kJ/mol of formula units.

The space group is P4/mmm (No. 123) and the conventional cell measures 4.8685, 4.8685 and 5.8926 Å, with angles of 90.00, 90.00 and 90.00 degrees. Symmetry generates all atoms from Be at (0.0000, 0.0000, 0.0000), Te at (0.0000, 0.0000, 0.5000), Se at (0.5000, 0.5000, 0.5000) and I at (0.0000, 0.5000, 0.0000).

---

## BeTlSe2I (PBE-GGA)

Data for a relaxed BeTlSe2I crystal.

For the raw formation energy, the calculation gives -29 meV per atom. The value obtained for the spin magnetization is 0.00 μB per formula unit.

The space group is P4/mmm (No. 123) and the conventional cell measures 4.5188, 4.5188 and 8.1904 Å, with angles of 90.00, 90.00 and 90.00 degrees. Symmetry generates all atoms from Be at (0.0000, 0.0000, 0.0000), Tl at (0.0000, 0.0000, 0.5000), Se at (0.0000, 0.5000, 0.0000) and I at (0.5000, 0.5000, 0.5000).

---

## YBe2SeI (PBE-GGA)

Data for a relaxed YBe2SeI crystal.

For the raw formation energy, the calculation gives 842 meV per atom. The value obtained for the spin magnetization is 0.00 μB per formula unit.

The space group is P4/mmm (No. 123) and the conventional cell measures 5.7773, 5.7773 and 5.2147 Å, with angles of 90.00, 90.00 and 90.00 degrees. Symmetry generates all atoms from Y at (0.0000, 0.0000, 0.0000), Be at (0.0000, 0.5000, 0.0000), Se at (0.0000, 0.0000, 0.5000) and I at (0.5000, 0.5000, 0.5000).